PrNi4P3: relaxed, PBE.

Space-group type: P4/mmm, No. 123
Formation energy, meV per atom: -766
Magnetic moment, μB per atom: 0.000
DOS(E_F), states/eV per cell: 4.1

The structure in POSCAR format:
```
PrNi4P3
1.0
-3.792 -0.034 0.873
-0.865 -0.413 -3.772
0.237 -7.338 0.748
Pr Ni P
1 4 3
direct
0.000 0.000 0.500 Pr
0.500 0.000 0.172 Ni
0.000 0.500 0.172 Ni
0.500 0.000 0.828 Ni
0.000 0.500 0.828 Ni
0.000 0.000 0.000 P
0.500 0.500 0.333 P
0.500 0.500 0.667 P
```

***

TaCd2Ru: relaxed, PBE.

Space-group type: P4/mmm, No. 123
Formation energy, meV per atom: 497
Magnetic moment, μB per atom: 0.122
E above lowest polymorph, meV/atom: 483.9
DOS(E_F), states/eV per cell: 2.9

The structure in POSCAR format:
```
TaCd2Ru
1.0
3.558 0.000 0.000
0.000 3.558 0.000
0.000 0.000 5.703
Cd Ru Ta
2 1 1
direct
0.000 0.000 0.010 Cd
0.000 0.000 0.490 Cd
0.500 0.500 0.250 Ru
0.500 0.500 0.750 Ta
```

***

Mg7In6: relaxed, PBE.

Space-group type: R-3m, No. 166
Formation energy, meV per atom: -11
Magnetic moment, μB per atom: 0.000
DOS(E_F), states/eV per cell: 6.1

The structure in POSCAR format:
```
Mg7In6
1.0
10.761 -0.104 -0.063
9.143 5.676 -0.063
9.143 2.559 5.067
Mg In
7 6
direct
0.915 0.412 0.412 Mg
0.412 0.412 0.915 Mg
0.412 0.915 0.412 Mg
0.085 0.588 0.588 Mg
0.588 0.085 0.588 Mg
0.588 0.588 0.085 Mg
0.500 0.500 0.500 Mg
0.951 0.951 0.951 In
0.049 0.049 0.049 In
0.845 0.845 0.845 In
0.155 0.155 0.155 In
0.668 0.668 0.668 In
0.332 0.332 0.332 In
```

***

LiInPbCl6: relaxed, PBE.

Space-group type: P-31c, No. 163
Magnetic moment, μB per atom: 0.000
DOS(E_F), states/eV per cell: 0.0
Formation energy without anion corrections, meV per atom: -1270

The structure in POSCAR format:
```
LiInPbCl6
1.0
6.645 0.000 0.000
-3.323 5.755 0.000
0.000 0.000 12.553
Li In Pb Cl
2 2 2 12
direct
0.333 0.667 0.250 Li
0.667 0.333 0.750 Li
0.667 0.333 0.250 In
0.333 0.667 0.750 In
0.000 0.000 0.000 Pb
0.000 0.000 0.500 Pb
0.641 0.637 0.135 Cl
0.996 0.359 0.135 Cl
0.359 0.996 0.635 Cl
0.004 0.641 0.865 Cl
0.363 0.359 0.365 Cl
0.996 0.637 0.365 Cl
0.637 0.996 0.865 Cl
0.641 0.004 0.365 Cl
0.004 0.363 0.635 Cl
0.363 0.004 0.135 Cl
0.637 0.641 0.635 Cl
0.359 0.363 0.865 Cl
```

***

Th4GeRu2: relaxed, PBE.

Space-group type: Cmcm, No. 63
Formation energy, meV per atom: -509
Magnetic moment, μB per atom: 0.000
E above lowest polymorph, meV/atom: 0.0
DOS(E_F), states/eV per cell: 12.2

The structure in POSCAR format:
```
Th4GeRu2
1.0
-3.077 -1.567 -2.378
5.412 -4.470 -0.363
-4.839 -6.726 10.692
Ru Ge Th
4 2 8
direct
0.127 0.254 0.441 Ru
0.873 0.746 0.941 Ru
0.127 0.254 0.059 Ru
0.873 0.746 0.559 Ru
0.608 0.216 0.750 Ge
0.392 0.784 0.250 Ge
0.770 0.540 0.118 Th
0.770 0.540 0.382 Th
0.230 0.460 0.882 Th
0.230 0.460 0.618 Th
0.942 0.884 0.750 Th
0.058 0.116 0.250 Th
0.500 0.000 0.000 Th
0.500 0.000 0.500 Th
```

***

K3MgB: relaxed, PBE.

Space-group type: Pm-3m, No. 221
Formation energy, meV per atom: 868
Magnetic moment, μB per atom: 0.338
E above lowest polymorph, meV/atom: 0.0
DOS(E_F), states/eV per cell: 5.6

The structure in POSCAR format:
```
K3MgB
1.0
6.123 0.000 0.000
0.000 6.123 0.000
0.000 0.000 6.123
K B Mg
3 1 1
direct
0.000 0.500 0.000 K
0.000 0.000 0.500 K
0.500 0.000 0.000 K
0.000 0.000 0.000 B
0.500 0.500 0.500 Mg
```

***

Repeat the third record exactly.
Mg7In6: relaxed, PBE.

Space-group type: R-3m, No. 166
Formation energy, meV per atom: -11
Magnetic moment, μB per atom: 0.000
DOS(E_F), states/eV per cell: 6.1

The structure in POSCAR format:
```
Mg7In6
1.0
10.761 -0.104 -0.063
9.143 5.676 -0.063
9.143 2.559 5.067
Mg In
7 6
direct
0.915 0.412 0.412 Mg
0.412 0.412 0.915 Mg
0.412 0.915 0.412 Mg
0.085 0.588 0.588 Mg
0.588 0.085 0.588 Mg
0.588 0.588 0.085 Mg
0.500 0.500 0.500 Mg
0.951 0.951 0.951 In
0.049 0.049 0.049 In
0.845 0.845 0.845 In
0.155 0.155 0.155 In
0.668 0.668 0.668 In
0.332 0.332 0.332 In
```

***

> The highest DOS(E_F) belongs to which entry?

Th4GeRu2

***

> Number 3 is which compound?

Mg7In6